No. 1
Material: SrNpSnO6
Method: DFT, GGA-PBE
State: relaxed

Cell lengths 5.544, 5.544, 10.851 Å; angles 90.00, 90.00, 120.00 degrees
Last column: magnetic moment on the atom in μB.
Element x y z (fractional)
O1 0.633 0.636 0.645  -0.04
O2 0.002 0.636 0.855  -0.04
O3 0.998 0.633 0.355  -0.04
Np1 0.333 0.667 0.750  1.22
O4 0.636 0.002 0.355  -0.04
Sr1 0.000 0.000 0.000  0.00
O5 0.998 0.364 0.145  -0.04
O6 0.367 0.002 0.145  -0.04
O7 0.636 0.633 0.145  -0.04
O8 0.367 0.364 0.355  -0.04
O9 0.002 0.367 0.645  -0.04
Sr2 0.000 0.000 0.500  0.00
O10 0.364 0.367 0.855  -0.04
Np2 0.667 0.333 0.250  1.22
Sn1 0.333 0.667 0.250  0.00
O11 0.364 0.998 0.645  -0.04
Sn2 0.667 0.333 0.750  0.00
O12 0.633 0.998 0.855  -0.04

**Crystal system**: trigonal
**DFT total energy**: -140.80 eV per cell
**E_form (uncorrected)**: -56.44 kcal/mol of atoms


No. 2
Material: TbNpSnO6
Method: DFT, GGA-PBE
State: relaxed

Cell lengths 5.665, 5.665, 9.061 Å; angles 90.00, 90.00, 120.00 degrees
Last column: magnetic moment on the atom in μB.
Element x y z (fractional)
O1 0.978 0.312 0.127  -0.04
O2 0.334 0.312 0.373  -0.04
Tb1 0.333 0.667 0.250  0.03
Sn1 0.000 0.000 0.000  0.05
Np1 0.333 0.667 0.750  2.13
O3 0.666 0.688 0.627  -0.04
O4 0.022 0.334 0.627  -0.04
Tb2 0.667 0.333 0.750  0.03
O5 0.688 0.666 0.127  -0.04
O6 0.666 0.978 0.873  -0.04
O7 0.312 0.334 0.873  -0.04
Np2 0.667 0.333 0.250  2.13
O8 0.312 0.978 0.627  -0.04
O9 0.022 0.688 0.873  -0.04
Sn2 0.000 0.000 0.500  0.05
O10 0.334 0.022 0.127  -0.04
O11 0.688 0.022 0.373  -0.04
O12 0.978 0.666 0.373  -0.04

**Crystal system**: trigonal
**DFT total energy**: -147.87 eV per cell
**E_form (uncorrected)**: -57.94 kcal/mol of atoms
**DOS(E_F)**: 5.72 states/eV/f.u.


No. 3
Material: NpTiSnO6
Method: DFT, GGA-PBE
State: relaxed

Cell lengths 5.447, 5.447, 10.290 Å; angles 90.00, 90.00, 120.00 degrees
Last column: magnetic moment on the atom in μB.
Element x y z (fractional)
O1 0.637 0.625 0.645  -0.03
O2 0.375 0.363 0.855  -0.03
Np1 0.333 0.667 0.750  1.22
O3 0.625 0.637 0.145  -0.03
Sn1 0.000 0.000 0.000  -0.01
O4 0.637 0.012 0.855  -0.03
O5 0.625 0.988 0.355  -0.03
O6 0.363 0.375 0.355  -0.03
Ti1 0.333 0.667 0.250  -0.01
O7 0.375 0.012 0.645  -0.03
Ti2 0.667 0.333 0.750  -0.01
O8 0.988 0.363 0.645  -0.03
Np2 0.667 0.333 0.250  1.22
O9 0.363 0.988 0.145  -0.03
O10 0.012 0.637 0.355  -0.03
O11 0.988 0.625 0.855  -0.03
Sn2 0.000 0.000 0.500  -0.01
O12 0.012 0.375 0.145  -0.03

**Crystal system**: trigonal
**DFT total energy**: -153.63 eV per cell
**E_form (uncorrected)**: -56.95 kcal/mol of atoms


No. 4
Material: NpTl2SnO6
Method: DFT, GGA-PBE
State: relaxed

Cell lengths 5.984, 5.984, 8.463 Å; angles 90.00, 90.00, 90.00 degrees
Last column: magnetic moment on the atom in μB.
Element x y z (fractional)
Np1 0.000 0.750 0.000  1.25
O1 0.500 0.250 0.252  -0.04
O2 0.752 0.998 0.000  -0.04
Sn1 0.500 0.250 0.000  -0.01
Tl1 0.000 0.250 0.250  0.00
O3 0.748 0.002 0.500  -0.04
O4 0.748 0.498 0.500  -0.04
O5 0.752 0.502 0.000  -0.04
O6 0.252 0.002 0.500  -0.04
O7 0.252 0.498 0.500  -0.04
O8 0.000 0.750 0.248  -0.04
O9 0.248 0.502 0.000  -0.04
O10 0.000 0.750 0.752  -0.04
Tl2 0.000 0.250 0.750  0.00
O11 0.500 0.250 0.748  -0.04
O12 0.248 0.998 0.000  -0.04
Sn2 0.000 0.750 0.500  -0.01
Tl3 0.500 0.750 0.250  0.00
Np2 0.500 0.250 0.500  1.25
Tl4 0.500 0.750 0.750  0.00

**Crystal system**: cubic
**DFT total energy**: -138.31 eV per cell
**E_form (uncorrected)**: -40.89 kcal/mol of atoms